# 1
The following is a DFT calculation (GGA-PBE) of an optimized crystal structure of Mg14TiCu.

```
16
Lattice="3.126 -5.451 0.000 3.126 5.451 0.000 0.000 0.000 10.028" Properties=species:S:1:pos:R:3 pbc="T T T"
Mg 4.689 0.942 7.379
Mg 4.689 0.942 2.648
Mg 1.513 -0.866 5.014
Mg 1.562 0.942 7.379
Mg 3.126 3.597 7.500
Mg 3.126 -1.888 2.688
Mg 3.126 1.799 0.000
Mg 4.671 -0.908 0.000
Mg 3.126 -3.636 0.000
Mg 3.126 3.597 2.528
Mg 4.738 -0.866 5.014
Mg 1.580 -0.908 0.000
Mg 3.126 -1.888 7.339
Mg 1.562 0.942 2.648
Cu 3.126 -3.683 5.014
Ti 3.126 1.881 5.014
```

Values from the calculation:
- energy of formation (kJ/mol of formula units) = 80
- VASP energy (eV/cell) = -33.5
- energy above the lowest structure with this stoichiometry (eV/atom) = 0.0058
- M_tot (μB per formula unit) = 0.9
- Fermi-level density of states (states/eV per atom) = 0.464

# 2
The following is a DFT calculation (GGA-PBE) of an optimized crystal structure of MgTiCu4.

```
6
Lattice="3.125 -0.252 0.016 0.251 3.124 0.019 -0.048 -0.047 8.509" Properties=species:S:1:pos:R:3 pbc="T T T"
Cu 3.242 1.302 1.589
Cu 1.798 2.982 2.861
Cu 1.531 -0.157 5.683
Cu 0.087 1.524 6.955
Mg 1.563 -0.126 0.008
Ti 0.102 1.538 4.264
```

Values from the calculation:
- energy of formation (kJ/mol of formula units) = -39
- VASP energy (eV/cell) = -26.3
- M_tot (μB per formula unit) = 0.4
- Fermi-level density of states (states/eV per atom) = 0.489

# 3
The following is a DFT calculation (GGA-PBE) of an optimized crystal structure of Mg3TiCu.

```
5
Lattice="5.340 0.000 0.000 0.000 5.340 0.000 0.000 0.000 5.340" Properties=species:S:1:pos:R:3 pbc="T T T"
Mg 0.000 2.670 0.000
Mg 0.000 0.000 2.670
Mg 2.670 0.000 0.000
Cu 2.670 2.670 2.670
Ti 0.000 0.000 0.000
```

Values from the calculation:
- energy of formation (kJ/mol of formula units) = 615
- VASP energy (eV/cell) = -10.4
- energy above the lowest structure with this stoichiometry (eV/atom) = 0.8044
- M_tot (μB per formula unit) = 3.0
- Fermi-level density of states (states/eV per atom) = 1.144

# 4
The following is a DFT calculation (GGA-PBE) of an optimized crystal structure of MgTi2Cu.

```
8
Lattice="-2.112 -2.845 -6.476 6.966 -2.012 -1.388 1.996 -4.706 -2.791" Properties=species:S:1:pos:R:3 pbc="T T T"
Ti -0.038 -3.325 -5.189
Ti 3.027 -5.267 -4.985
Ti 6.035 -7.863 -9.032
Ti 4.677 -2.671 -2.105
Cu 0.000 0.000 0.000
Cu 1.156 -4.990 -6.600
Mg 2.427 -2.428 -3.932
Mg 5.694 -4.573 -4.056
```

Values from the calculation:
- energy of formation (kJ/mol of formula units) = 142
- VASP energy (eV/cell) = -40.0
- M_tot (μB per formula unit) = 0.0
- Fermi-level density of states (states/eV per atom) = 0.865

# 5
The following is a DFT calculation (GGA-PBE) of an optimized crystal structure of Mg14TiCu.

```
16
Lattice="2.253 5.245 2.631 -5.423 -2.451 2.022 4.967 -5.481 6.674" Properties=species:S:1:pos:R:3 pbc="T T T"
Mg -1.796 0.154 5.137
Mg 3.380 -1.388 7.381
Mg -0.457 4.006 3.630
Mg -2.968 -2.575 3.769
Mg 0.975 1.266 4.149
Mg 0.716 -2.619 8.514
Mg 1.113 2.623 1.326
Mg -1.573 1.409 2.328
Mg -0.232 -3.937 4.375
Mg 2.365 -4.072 6.093
Mg -1.782 -2.571 6.651
Mg -0.456 -5.348 7.145
Mg 0.870 -1.372 5.662
Mg -0.147 -1.299 2.716
Ti 2.483 -2.741 3.337
Cu 0.000 0.000 0.000
```

Values from the calculation:
- energy of formation (kJ/mol of formula units) = 71
- VASP energy (eV/cell) = -33.6
- energy above the lowest structure with this stoichiometry (eV/atom) = 0.0000
- M_tot (μB per formula unit) = 0.0
- Fermi-level density of states (states/eV per atom) = 0.470

# 6
The following is a DFT calculation (GGA-PBE) of an optimized crystal structure of Mg2TiVCu.

```
5
Lattice="5.096 0.000 0.000 0.000 4.224 0.000 0.000 0.000 5.096" Properties=species:S:1:pos:R:3 pbc="T T T"
V 0.000 0.000 0.000
Mg 0.000 0.000 2.548
Mg 2.548 0.000 0.000
Ti 0.000 2.112 0.000
Cu 2.548 2.112 2.548
```

Values from the calculation:
- energy of formation (kJ/mol of formula units) = 491
- VASP energy (eV/cell) = -19.2
- M_tot (μB per formula unit) = 1.4
- Fermi-level density of states (states/eV per atom) = 0.580

# 7
The following is a DFT calculation (GGA-PBE) of an optimized crystal structure of MgTl2Cu.

```
4
Lattice="3.538 0.000 0.000 0.000 3.529 0.000 0.000 0.000 7.207" Properties=species:S:1:pos:R:3 pbc="T T T"
Cu 1.769 1.765 1.802
Tl 0.000 0.000 3.426
Tl 0.000 0.000 0.177
Mg 1.769 1.765 5.405
```

Values from the calculation:
- energy of formation (kJ/mol of formula units) = 59
- VASP energy (eV/cell) = -9.8
- energy above the lowest structure with this stoichiometry (eV/atom) = 0.0286
- M_tot (μB per formula unit) = 0.0
- Fermi-level density of states (states/eV per atom) = 0.401

# 8
The following is a DFT calculation (GGA-PBE) of an optimized crystal structure of MgTl2Cu2.

```
10
Lattice="-7.037 -0.273 0.836 -0.586 -3.577 -6.096 0.374 -3.481 2.006" Properties=species:S:1:pos:R:3 pbc="T T T"
Mg 0.000 0.000 0.000
Mg -3.811 -1.925 -2.630
Tl -2.196 -2.459 0.201
Tl -1.448 -4.207 -2.971
Tl -5.054 -4.872 -3.454
Tl -5.801 -3.124 -0.282
Cu -3.152 -3.233 -5.021
Cu -6.524 -2.474 -3.078
Cu -4.471 -0.617 -0.239
Cu -1.099 -1.376 -2.182
```

Values from the calculation:
- energy of formation (kJ/mol of formula units) = 76
- VASP energy (eV/cell) = -27.5
- energy above the lowest structure with this stoichiometry (eV/atom) = 0.0000
- M_tot (μB per formula unit) = 0.0
- Fermi-level density of states (states/eV per atom) = 0.410

# 9
The following is a DFT calculation (GGA-PBE) of an optimized crystal structure of Mg5Tl2Cu2.

```
18
Lattice="6.375 0.000 2.314 0.000 7.154 0.000 0.461 0.000 8.667" Properties=species:S:1:pos:R:3 pbc="T T T"
Mg 2.135 4.799 7.380
Mg 0.458 4.799 2.061
Mg 4.701 2.355 3.602
Mg 0.000 0.000 0.000
Mg 3.645 5.932 3.218
Mg 3.191 1.222 7.763
Mg 6.378 2.355 8.920
Mg 5.322 5.932 8.537
Mg 3.187 3.577 1.157
Mg 1.514 1.222 2.444
Cu 5.584 4.490 2.027
Cu 0.791 2.664 0.287
Cu 2.397 6.241 0.870
Cu 3.978 0.913 1.444
Tl 5.153 0.000 5.681
Tl 4.871 3.577 6.457
Tl 1.965 3.577 4.524
Tl 1.684 0.000 5.300
```

Values from the calculation:
- energy of formation (kJ/mol of formula units) = -36
- VASP energy (eV/cell) = -42.5
- M_tot (μB per formula unit) = 0.0
- Fermi-level density of states (states/eV per atom) = 0.326

# 10
The following is a DFT calculation (GGA-PBE) of an optimized crystal structure of MgTl2Cu.

```
4
Lattice="5.731 0.014 0.058 -1.912 5.403 0.058 0.835 1.184 3.029" Properties=species:S:1:pos:R:3 pbc="T T T"
Tl 1.910 2.708 0.058
Tl 0.000 0.000 0.000
Mg -0.539 3.293 1.543
Cu 3.283 0.599 1.543
```

Values from the calculation:
- energy of formation (kJ/mol of formula units) = 88
- VASP energy (eV/cell) = -9.5
- energy above the lowest structure with this stoichiometry (eV/atom) = 0.1052
- M_tot (μB per formula unit) = 0.0
- Fermi-level density of states (states/eV per atom) = 0.235

# 11
The following is a DFT calculation (GGA-PBE) of an optimized crystal structure of MgTl2Cu.

```
4
Lattice="-4.929 4.441 0.766 -2.833 2.234 5.620 5.347 -0.974 -3.882" Properties=species:S:1:pos:R:3 pbc="T T T"
Cu -3.952 3.399 3.252
Mg -1.281 3.014 -0.332
Tl -1.041 2.606 2.760
Tl -0.022 0.019 0.018
```

Values from the calculation:
- energy of formation (kJ/mol of formula units) = 48
- VASP energy (eV/cell) = -9.9
- energy above the lowest structure with this stoichiometry (eV/atom) = 0.0000
- M_tot (μB per formula unit) = 0.0
- Fermi-level density of states (states/eV per atom) = 0.419

# 12
The following is a DFT calculation (GGA-PBE) of an optimized crystal structure of MgTl2Cu2.

```
5
Lattice="3.449 0.000 0.000 0.000 3.449 0.000 1.724 1.724 8.816" Properties=species:S:1:pos:R:3 pbc="T T T"
Tl 3.449 3.449 6.729
Tl 1.724 1.724 2.087
Mg 0.000 0.000 0.000
Cu 1.724 3.449 4.408
Cu 3.449 1.724 4.408
```

Values from the calculation:
- energy of formation (kJ/mol of formula units) = 80
- VASP energy (eV/cell) = -13.7
- energy above the lowest structure with this stoichiometry (eV/atom) = 0.0080
- M_tot (μB per formula unit) = 0.0
- Fermi-level density of states (states/eV per atom) = 0.362